# 1
## Ho4ErAl3 (PBE)

Data for crystalline Ho4ErAl3 at its relaxed geometry.

Computed properties:
Formation enthalpy at 0 K   -0.134 eV/atom
D(E_F)   7.296 states/eV/f.u.

Unit cell a=3.349 b=8.552 c=8.654 alpha=119.61 beta=101.16 gamma=90.00
Fractional coordinates of all 8 atoms:
1 Al 0.182 0.182 0.365
2 Al 0.818 0.818 0.635
3 Al 0.000 0.500 0.000
4 Er 0.500 0.000 0.000
5 Ho 0.640 0.443 0.281
6 Ho 0.360 0.162 0.719
7 Ho 0.360 0.557 0.719
8 Ho 0.640 0.838 0.281

***

# 2
## H2PbAuF8 (PBE)

Data for crystalline H2PbAuF8 at its relaxed geometry.

Computed properties:
Uncorrected energy   -46.7 eV for the cell shown
D(E_F)   3.754 states/eV/f.u.

Unit cell a=3.842 b=5.067 c=9.307 alpha=78.49 beta=94.41 gamma=68.85
Fractional coordinates of all 12 atoms:
1 F 0.750 0.339 0.262
2 F 0.387 0.244 0.538
3 F 0.250 0.661 0.738
4 F 0.613 0.756 0.462
5 F 0.287 0.226 0.052
6 F 0.713 0.774 0.948
7 F 0.163 0.751 0.207
8 F 0.837 0.249 0.793
9 H 0.500 0.515 0.238
10 H 0.500 0.485 0.762
11 Au 0.000 0.000 0.000
12 Pb 0.000 0.000 0.500

***

# 3
## CsCeTl2I6 (PBE)

Data for crystalline CsCeTl2I6 at its relaxed geometry.

Computed properties:
Formation energy (no corrections)   -1118 meV/atom
D(E_F)   8.624 states/eV/f.u.

Unit cell a=8.427 b=9.879 c=12.499 alpha=90.00 beta=87.25 gamma=90.00
Site moments in Bohr magnetons follow the coordinates.
Fractional coordinates of all 20 atoms:
1 Ce 0.500 0.000 0.500  0.99
2 Ce 0.000 0.500 0.000  0.99
3 Tl 0.987 0.064 0.709  0.00
4 Tl 0.487 0.436 0.209  0.00
5 Tl 0.513 0.564 0.791  0.00
6 Tl 0.013 0.936 0.291  0.00
7 Cs 0.000 0.500 0.500  0.00
8 Cs 0.500 0.000 0.000  0.00
9 I 0.346 0.750 0.384  -0.01
10 I 0.851 0.609 0.220  -0.01
11 I 0.654 0.250 0.616  -0.01
12 I 0.351 0.891 0.720  -0.01
13 I 0.846 0.750 0.884  -0.01
14 I 0.649 0.109 0.280  -0.01
15 I 0.182 0.158 0.468  -0.01
16 I 0.818 0.842 0.532  -0.01
17 I 0.149 0.391 0.780  -0.01
18 I 0.318 0.658 0.032  -0.01
19 I 0.682 0.342 0.968  -0.01
20 I 0.154 0.250 0.116  -0.01

***

# 4
## HoPaAu2 (PBE)

Data for crystalline HoPaAu2 at its relaxed geometry.

Computed properties:
Formation enthalpy at 0 K   -0.345 eV/atom
D(E_F)   5.438 states/eV/f.u.

Unit cell a=3.811 b=3.811 c=8.402 alpha=76.89 beta=76.89 gamma=60.00
Site moments in Bohr magnetons follow the coordinates.
Fractional coordinates of all 4 atoms:
1 Pa 0.000 0.000 0.000  0.61
2 Au 0.250 0.250 0.251  0.02
3 Au 0.750 0.750 0.749  0.02
4 Ho 0.500 0.500 0.500  0.02